Entry 1:
Density functional theory data (PBE-GGA) for SiPPd4 after structural relaxation.

Lattice parameters (Å, degrees): 6.524 3.422 15.618 90.00 90.00 90.00
Space group Pnma (No. 62)
Symmetry-distinct sites (fractional):
Si  0.215  0.250  0.190
P  0.237  0.750  0.439
Pd  0.017  0.750  0.286
Pd  0.048  0.750  0.569
Pd  0.104  0.750  0.064
Pd  0.153  0.750  0.839

Values from the calculation:
Spin magnetization = 0.00 μB per atom
Relative energy among the computed polymorphs = 0 meV per atom
Raw total energy = -5.806 eV per atom


Entry 2:
Density functional theory data (PBE-GGA) for Si3PPd after structural relaxation.

Lattice parameters (Å, degrees): 4.438 4.438 4.438 90.00 90.00 90.00
Space group Pm-3m (No. 221)
Symmetry-distinct sites (fractional):
Si  0.000  0.000  0.500
P  0.000  0.000  0.000
Pd  0.500  0.500  0.500

Values from the calculation:
Spin magnetization = 0.00 μB per atom
Relative energy among the computed polymorphs = 4 meV per atom
Raw total energy = -4.638 eV per atom


Entry 3:
Density functional theory data (PBE-GGA) for SiPPd2 after structural relaxation.

Lattice parameters (Å, degrees): 6.154 6.154 6.154 90.00 90.00 90.00
Space group Fm-3m (No. 225)
Symmetry-distinct sites (fractional):
Si  0.000  0.000  0.000
P  0.000  0.000  0.500
Pd  0.250  0.250  0.250

Values from the calculation:
Spin magnetization = 0.00 μB per atom
Raw total energy = -5.444 eV per atom


Entry 4:
Density functional theory data (PBE-GGA) for SiP2Pd8 after structural relaxation.

Lattice parameters (Å, degrees): 14.461 4.052 5.916 90.00 111.27 90.00
Space group C2/m (No. 12)
Symmetry-distinct sites (fractional):
Si  0.000  0.000  0.000
P  0.175  0.500  0.686
Pd  0.035  0.500  0.805
Pd  0.090  0.000  0.459
Pd  0.176  0.000  0.974
Pd  0.196  0.500  0.318

Values from the calculation:
Spin magnetization = 0.00 μB per atom
Relative energy among the computed polymorphs = 0 meV per atom
Raw total energy = -5.740 eV per atom


Number 1: E_form (uncorrected) -539 meV per atom. Number 2: E_form (uncorrected) 737 meV per atom. Number 3: E_form (uncorrected) -139 meV per atom. Number 4: E_form (uncorrected) -487 meV per atom.